DyZn4Tc: optimized geometry, GGA-PBE.

Lattice parameters (Å, degrees): 5.144 5.144 5.144 60.00 60.00 60.00
Atoms (fractional coordinates):
Dy: 0.000 0.000 0.000
Zn: 0.376 0.376 0.376
Zn: 0.376 0.376 0.871
Zn: 0.376 0.871 0.376
Zn: 0.871 0.376 0.376
Tc: 0.750 0.750 0.750

E_form = -0.16 eV/atom
uncorrected energy = -0.258 Ry/atom
volume = 16.04 Å³/atom
symmetry = F-43m (216)

=====

InI2Cl: optimized geometry, GGA-PBE.

Lattice parameters (Å, degrees): 8.038 8.038 8.038 96.27 96.27 141.40
Atoms (fractional coordinates):
In: 0.000 0.000 0.000
In: 0.750 0.250 0.500
I: 0.375 0.231 0.356
I: 0.769 0.125 0.144
I: 0.875 0.019 0.644
I: 0.981 0.625 0.856
Cl: 0.250 0.750 0.500
Cl: 0.500 0.500 0.000

uncorrected energy = -0.174 Ry/atom
E above lowest polymorph = 0.181 eV per atom
volume = 38.23 Å³/atom
symmetry = I-42d (122)
formation energy (no corrections) = -0.445 eV/atom

=====

PmPrY2Sc4: optimized geometry, GGA-PBE.

Lattice parameters (Å, degrees): 9.147 9.147 9.147 137.78 103.00 91.98
Atoms (fractional coordinates):
Pm: 0.000 0.000 0.000
Pm: 0.500 0.000 0.500
Pr: 0.500 0.000 0.000
Pr: 0.500 0.500 0.500
Y: 0.000 0.000 0.500
Y: 0.000 0.500 0.000
Y: 0.000 0.500 0.500
Y: 0.500 0.500 0.000
Sc: 0.248 0.247 0.498
Sc: 0.248 0.750 0.002
Sc: 0.249 0.249 0.000
Sc: 0.250 0.751 0.500
Sc: 0.750 0.249 0.500
Sc: 0.751 0.751 0.000
Sc: 0.752 0.250 0.998
Sc: 0.752 0.753 0.502

E_form = 0.43 eV/atom
uncorrected energy = -0.408 Ry/atom
volume = 29.81 Å³/atom
symmetry = Imma (74)

=====

TbPu4Ge3: optimized geometry, GGA-PBE.

Lattice parameters (Å, degrees): 8.325 8.325 8.325 123.41 123.41 84.18
Atoms (fractional coordinates):
Tb: 0.000 0.000 0.000
Tb: 0.500 0.500 0.000
Pu: 0.002 0.502 0.192
Pu: 0.190 0.998 0.500
Pu: 0.310 0.810 0.808
Pu: 0.498 0.690 0.500
Pu: 0.502 0.310 0.500
Pu: 0.690 0.190 0.192
Pu: 0.810 0.002 0.500
Pu: 0.998 0.498 0.808
Ge: 0.148 0.352 0.500
Ge: 0.250 0.250 0.000
Ge: 0.352 0.852 0.205
Ge: 0.648 0.148 0.795
Ge: 0.750 0.750 0.000
Ge: 0.852 0.648 0.500

E_form = -0.45 eV/atom
uncorrected energy = -0.729 Ry/atom
volume = 24.05 Å³/atom
symmetry = I4/mcm (140)

=====

Tb3Y7Er2: optimized geometry, GGA-PBE.

Lattice parameters (Å, degrees): 6.335 3.516 17.459 90.00 96.02 90.00
Atoms (fractional coordinates):
Tb: 0.000 0.000 0.000
Tb: 0.049 0.500 0.658
Tb: 0.951 0.500 0.342
Y: 0.227 0.500 0.167
Y: 0.246 0.000 0.502
Y: 0.275 0.000 0.831
Y: 0.500 0.500 0.000
Y: 0.725 0.000 0.169
Y: 0.754 0.000 0.498
Y: 0.773 0.500 0.833
Er: 0.442 0.000 0.327
Er: 0.558 0.000 0.673

E_form = 0.08 eV/atom
uncorrected energy = -0.412 Ry/atom
E above lowest polymorph = 0.000 eV per atom
volume = 32.23 Å³/atom
symmetry = P2/m (10)

=====

AcLa5Tb4: optimized geometry, GGA-PBE.

Lattice parameters (Å, degrees): 3.747 3.747 25.513 90.00 90.00 90.00
Atoms (fractional coordinates):
Ac: 0.000 0.000 0.000
La: 0.500 0.500 0.110
La: 0.500 0.500 0.306
La: 0.500 0.500 0.500
La: 0.500 0.500 0.694
La: 0.500 0.500 0.890
Tb: 0.000 0.000 0.208
Tb: 0.000 0.000 0.403
Tb: 0.000 0.000 0.597
Tb: 0.000 0.000 0.792

E_form = 0.03 eV/atom
uncorrected energy = -0.345 Ry/atom
E above lowest polymorph = 0.000 eV per atom
volume = 35.82 Å³/atom
symmetry = P4/mmm (123)

=====

Ba2LiZn3Sn4: optimized geometry, GGA-PBE.

Lattice parameters (Å, degrees): 4.801 4.801 11.448 90.00 90.00 90.00
Atoms (fractional coordinates):
Ba: 0.000 0.500 0.243
Ba: 0.500 0.000 0.757
Li: 0.500 0.500 0.000
Zn: 0.000 0.000 0.000
Zn: 0.000 0.500 0.638
Zn: 0.500 0.000 0.362
Sn: 0.000 0.000 0.500
Sn: 0.000 0.500 0.873
Sn: 0.500 0.000 0.127
Sn: 0.500 0.500 0.500

E_form = -0.44 eV/atom
uncorrected energy = -0.221 Ry/atom
volume = 26.38 Å³/atom
symmetry = P-4m2 (115)

=====

Li8AlZn6: optimized geometry, GGA-PBE.

Lattice parameters (Å, degrees): 7.035 7.035 7.035 57.55 57.55 57.55
Atoms (fractional coordinates):
Li: 0.086 0.086 0.086
Li: 0.160 0.634 0.321
Li: 0.321 0.160 0.634
Li: 0.366 0.679 0.840
Li: 0.634 0.321 0.160
Li: 0.679 0.840 0.366
Li: 0.840 0.366 0.679
Li: 0.914 0.914 0.914
Al: 0.500 0.500 0.500
Zn: 0.020 0.560 0.780
Zn: 0.220 0.980 0.440
Zn: 0.440 0.220 0.980
Zn: 0.560 0.780 0.020
Zn: 0.780 0.020 0.560
Zn: 0.980 0.440 0.220

E_form = -0.12 eV/atom
uncorrected energy = -0.140 Ry/atom
volume = 15.49 Å³/atom
symmetry = R-3 (148)

=====

LaPm12Ru7: optimized geometry, GGA-PBE.

Lattice parameters (Å, degrees): 8.824 8.824 8.824 106.42 106.42 106.42
Atoms (fractional coordinates):
La: 0.000 0.000 0.000
Pm: 0.076 0.718 0.256
Pm: 0.155 0.386 0.445
Pm: 0.256 0.076 0.718
Pm: 0.282 0.744 0.924
Pm: 0.386 0.445 0.155
Pm: 0.445 0.155 0.386
Pm: 0.555 0.845 0.614
Pm: 0.614 0.555 0.845
Pm: 0.718 0.256 0.076
Pm: 0.744 0.924 0.282
Pm: 0.845 0.614 0.555
Pm: 0.924 0.282 0.744
Ru: 0.046 0.390 0.100
Ru: 0.100 0.046 0.390
Ru: 0.390 0.100 0.046
Ru: 0.500 0.500 0.500
Ru: 0.610 0.900 0.954
Ru: 0.900 0.954 0.610
Ru: 0.954 0.610 0.900

E_form = -0.11 eV/atom
uncorrected energy = -0.474 Ry/atom
volume = 29.05 Å³/atom
symmetry = R-3 (148)

=====

CsAcCuCl6: optimized geometry, GGA-PBE.

Lattice parameters (Å, degrees): 6.808 6.808 7.955 94.19 94.19 111.97
Atoms (fractional coordinates):
Cs: 0.000 0.000 0.000
Ac: 0.353 0.647 0.500
Cu: 0.713 0.287 0.500
Cl: 0.024 0.312 0.653
Cl: 0.034 0.577 0.235
Cl: 0.423 0.966 0.765
Cl: 0.440 0.298 0.318
Cl: 0.688 0.976 0.347
Cl: 0.702 0.560 0.682

uncorrected energy = -0.287 Ry/atom
volume = 37.66 Å³/atom
symmetry = C2 (5)
formation energy (no corrections) = -1.669 eV/atom

=====

NdMo6: optimized geometry, GGA-PBE.

Lattice parameters (Å, degrees): 6.010 6.010 6.010 109.47 109.47 109.47
Atoms (fractional coordinates):
Nd: 0.000 0.000 0.000
Mo: 0.250 0.500 0.750
Mo: 0.250 0.750 0.500
Mo: 0.500 0.250 0.750
Mo: 0.500 0.750 0.250
Mo: 0.750 0.250 0.500
Mo: 0.750 0.500 0.250

E_form = 1.44 eV/atom
uncorrected energy = -0.626 Ry/atom
volume = 23.88 Å³/atom
symmetry = Im-3m (229)

=====

TcGe2Ir: optimized geometry, GGA-PBE.

Lattice parameters (Å, degrees): 4.327 4.327 3.096 90.00 90.00 90.00
Atoms (fractional coordinates):
Tc: 0.000 0.000 0.000
Ge: 0.000 0.500 0.500
Ge: 0.500 0.000 0.500
Ir: 0.500 0.500 0.000

E_form = -0.15 eV/atom
uncorrected energy = -0.534 Ry/atom
E above lowest polymorph = 0.000 eV per atom
volume = 14.49 Å³/atom
symmetry = P4/mmm (123)

=====

AcHo2Tm: optimized geometry, GGA-PBE.

Lattice parameters (Å, degrees): 6.849 6.849 6.849 148.30 64.64 125.28
Atoms (fractional coordinates):
Ac: 0.000 0.000 0.000
Ho: 0.109 0.353 0.757
Ho: 0.596 0.353 0.243
Tm: 0.508 0.008 0.500

E_form = 0.06 eV/atom
uncorrected energy = -0.322 Ry/atom
E above lowest polymorph = 0.007 eV per atom
volume = 34.07 Å³/atom
symmetry = Imm2 (44)

=====

Pr2Dy3Pd2: optimized geometry, GGA-PBE.

Lattice parameters (Å, degrees): 6.626 6.626 9.201 116.58 116.58 32.93
Atoms (fractional coordinates):
Pr: 0.154 0.154 0.313
Pr: 0.846 0.846 0.687
Dy: 0.384 0.384 0.058
Dy: 0.500 0.500 0.500
Dy: 0.616 0.616 0.942
Pd: 0.163 0.163 0.740
Pd: 0.837 0.837 0.260

E_form = -0.51 eV/atom
uncorrected energy = -0.392 Ry/atom
volume = 27.75 Å³/atom
symmetry = C2/m (12)

=====

Pm3Ho4Sc4: optimized geometry, GGA-PBE.

Lattice parameters (Å, degrees): 10.225 6.494 6.494 50.08 90.00 90.00
Atoms (fractional coordinates):
Pm: 0.000 0.000 0.000
Pm: 0.306 0.140 0.140
Pm: 0.694 0.140 0.140
Ho: 0.000 0.300 0.300
Ho: 0.280 0.837 0.837
Ho: 0.500 0.373 0.373
Ho: 0.720 0.837 0.837
Sc: 0.000 0.689 0.689
Sc: 0.215 0.504 0.504
Sc: 0.500 0.636 0.636
Sc: 0.785 0.504 0.504

E_form = 0.15 eV/atom
uncorrected energy = -0.376 Ry/atom
volume = 30.07 Å³/atom
symmetry = Amm2 (38)

=====

Cd12SnHg7: optimized geometry, GGA-PBE.

Lattice parameters (Å, degrees): 7.916 7.916 7.916 94.70 94.70 94.70
Atoms (fractional coordinates):
Cd: 0.000 0.271 0.729
Cd: 0.000 0.729 0.271
Cd: 0.161 0.611 0.611
Cd: 0.271 0.000 0.729
Cd: 0.271 0.729 0.000
Cd: 0.389 0.389 0.839
Cd: 0.389 0.839 0.389
Cd: 0.611 0.161 0.611
Cd: 0.611 0.611 0.161
Cd: 0.729 0.000 0.271
Cd: 0.729 0.271 0.000
Cd: 0.839 0.389 0.389
Sn: 0.000 0.000 0.000
Hg: 0.146 0.146 0.409
Hg: 0.146 0.409 0.146
Hg: 0.409 0.146 0.146
Hg: 0.500 0.500 0.500
Hg: 0.591 0.854 0.854
Hg: 0.854 0.591 0.854
Hg: 0.854 0.854 0.591

E_form = 0.04 eV/atom
uncorrected energy = -0.060 Ry/atom
E above lowest polymorph = 0.004 eV per atom
volume = 24.54 Å³/atom
symmetry = R-3m (166)

=====

Cu2Ag2Se3: optimized geometry, GGA-PBE.

Lattice parameters (Å, degrees): 9.628 9.628 6.888 101.62 101.62 82.36
Atoms (fractional coordinates):
Cu: 0.040 0.573 0.703
Cu: 0.119 0.284 0.821
Cu: 0.284 0.119 0.321
Cu: 0.427 0.960 0.797
Cu: 0.573 0.040 0.203
Cu: 0.716 0.881 0.679
Cu: 0.881 0.716 0.179
Cu: 0.960 0.427 0.297
Ag: 0.172 0.828 0.750
Ag: 0.248 0.398 0.240
Ag: 0.335 0.665 0.250
Ag: 0.398 0.248 0.740
Ag: 0.602 0.752 0.260
Ag: 0.665 0.335 0.750
Ag: 0.752 0.602 0.760
Ag: 0.828 0.172 0.250
Se: 0.063 0.201 0.108
Se: 0.096 0.643 0.399
Se: 0.201 0.063 0.608
Se: 0.266 0.491 0.891
Se: 0.357 0.904 0.101
Se: 0.491 0.266 0.391
Se: 0.509 0.734 0.609
Se: 0.643 0.096 0.899
Se: 0.734 0.509 0.109
Se: 0.799 0.937 0.392
Se: 0.904 0.357 0.601
Se: 0.937 0.799 0.892

uncorrected energy = -0.260 Ry/atom
volume = 21.78 Å³/atom
symmetry = C2/c (15)
formation energy (no corrections) = -0.054 eV/atom

=====

AcTiSe2: optimized geometry, GGA-PBE.

Lattice parameters (Å, degrees): 6.874 6.874 6.874 35.73 35.73 35.73
Atoms (fractional coordinates):
Ac: 0.000 0.000 0.000
Ti: 0.500 0.500 0.500
Se: 0.233 0.233 0.233
Se: 0.767 0.767 0.767

uncorrected energy = -0.444 Ry/atom
volume = 24.75 Å³/atom
symmetry = R-3m (166)
formation energy (no corrections) = -1.297 eV/atom

=====

LiHf4Se8: optimized geometry, GGA-PBE.

Lattice parameters (Å, degrees): 7.731 7.731 7.731 60.00 60.00 60.00
Atoms (fractional coordinates):
Li: 0.000 0.000 0.000
Hf: 0.136 0.621 0.621
Hf: 0.621 0.136 0.621
Hf: 0.621 0.621 0.136
Hf: 0.621 0.621 0.621
Se: 0.376 0.376 0.376
Se: 0.376 0.376 0.871
Se: 0.376 0.871 0.376
Se: 0.392 0.869 0.869
Se: 0.869 0.392 0.869
Se: 0.869 0.869 0.392
Se: 0.869 0.869 0.869
Se: 0.871 0.376 0.376

uncorrected energy = -0.492 Ry/atom
E above lowest polymorph = 0.019 eV per atom
volume = 25.13 Å³/atom
symmetry = F-43m (216)
formation energy (no corrections) = -1.335 eV/atom

=====

TlAg2F: optimized geometry, GGA-PBE.

Lattice parameters (Å, degrees): 9.318 9.318 9.318 19.68 19.68 19.68
Atoms (fractional coordinates):
Tl: 0.000 0.000 0.000
Ag: 0.104 0.104 0.104
Ag: 0.896 0.896 0.896
F: 0.500 0.500 0.500

uncorrected energy = -0.208 Ry/atom
E above lowest polymorph = 0.114 eV per atom
volume = 20.07 Å³/atom
symmetry = R-3m (166)
formation energy (no corrections) = -0.350 eV/atom

=====

Mg2ZrW: optimized geometry, GGA-PBE.

Lattice parameters (Å, degrees): 3.632 3.632 5.850 90.00 90.00 90.00
Atoms (fractional coordinates):
Mg: 0.000 0.000 0.230
Mg: 0.000 0.000 0.770
Zr: 0.500 0.500 0.500
W: 0.500 0.500 0.000

E_form = 0.55 eV/atom
uncorrected energy = -0.414 Ry/atom
E above lowest polymorph = 0.344 eV per atom
volume = 19.29 Å³/atom
symmetry = P4/mmm (123)